A.
{
  "formula": "KTcP2",
  "functional": "PBE-GGA",
  "state": "relaxed",
  "spacegroup": "No. 12",
  "cell": [[7.704, 0.000, 0.000], [0.000, 3.243, 0.000], [-1.328, 0.000, 6.503]],
  "species": ["K", "K", "Tc", "Tc", "P", "P", "P", "P"],
  "frac_coords": [[0.000, 0.000, 0.000], [0.500, 0.500, 0.000], [0.000, 0.500, 0.500], [0.500, 0.000, 0.500], [0.229, 0.000, 0.637], [0.271, 0.500, 0.363], [0.729, 0.500, 0.637], [0.771, 0.000, 0.363]]
}

=====

B.
{
  "formula": "KTcP2",
  "functional": "PBE-GGA",
  "state": "relaxed",
  "spacegroup": "No. 47",
  "cell": [[2.565, 0.000, 0.000], [0.000, 5.099, 0.000], [0.000, 0.000, 5.483]],
  "species": ["K", "Tc", "P", "P"],
  "frac_coords": [[0.000, 0.000, 0.000], [0.500, 0.500, 0.500], [0.000, 0.000, 0.500], [0.500, 0.500, 0.000]]
}

=====

C.
{
  "formula": "KTcP2",
  "functional": "PBE-GGA",
  "state": "relaxed",
  "spacegroup": "No. 225",
  "cell": [[6.425, 0.000, 0.000], [0.000, 6.425, 0.000], [0.000, 0.000, 6.425]],
  "species": ["K", "K", "K", "K", "Tc", "Tc", "Tc", "Tc", "P", "P", "P", "P", "P", "P", "P", "P"],
  "frac_coords": [[0.000, 0.000, 0.000], [0.000, 0.500, 0.500], [0.500, 0.000, 0.500], [0.500, 0.500, 0.000], [0.000, 0.000, 0.500], [0.000, 0.500, 0.000], [0.500, 0.000, 0.000], [0.500, 0.500, 0.500], [0.250, 0.250, 0.250], [0.250, 0.250, 0.750], [0.250, 0.750, 0.250], [0.250, 0.750, 0.750], [0.750, 0.250, 0.250], [0.750, 0.250, 0.750], [0.750, 0.750, 0.250], [0.750, 0.750, 0.750]]
}

=====

Short version: A is the most stable of them.

=====

A.
{
  "formula": "KTcP2",
  "functional": "PBE-GGA",
  "state": "relaxed",
  "spacegroup": "No. 216",
  "cell": [[6.481, 0.000, 0.000], [0.000, 6.481, 0.000], [0.000, 0.000, 6.481]],
  "species": ["K", "K", "K", "K", "Tc", "Tc", "Tc", "Tc", "P", "P", "P", "P", "P", "P", "P", "P"],
  "frac_coords": [[0.000, 0.000, 0.000], [0.000, 0.500, 0.500], [0.500, 0.000, 0.500], [0.500, 0.500, 0.000], [0.250, 0.250, 0.750], [0.250, 0.750, 0.250], [0.750, 0.250, 0.250], [0.750, 0.750, 0.750], [0.000, 0.000, 0.500], [0.000, 0.500, 0.000], [0.250, 0.250, 0.250], [0.250, 0.750, 0.750], [0.500, 0.000, 0.000], [0.500, 0.500, 0.500], [0.750, 0.250, 0.750], [0.750, 0.750, 0.250]]
}

=====

B.
{
  "formula": "KTcP2",
  "functional": "PBE-GGA",
  "state": "relaxed",
  "spacegroup": "No. 44",
  "cell": [[3.013, 0.000, 0.000], [0.000, 3.340, 0.000], [0.000, 0.000, 15.669]],
  "species": ["K", "K", "Tc", "Tc", "P", "P", "P", "P"],
  "frac_coords": [[0.000, 0.000, 0.000], [0.500, 0.500, 0.500], [0.000, 0.500, 0.739], [0.500, 0.000, 0.239], [0.000, 0.000, 0.354], [0.000, 0.500, 0.173], [0.500, 0.000, 0.673], [0.500, 0.500, 0.854]]
}

=====

C.
{
  "formula": "KTcP2",
  "functional": "PBE-GGA",
  "state": "relaxed",
  "spacegroup": "No. 38",
  "cell": [[3.985, 0.000, 0.000], [0.000, 3.398, 0.000], [0.000, 0.000, 14.758]],
  "species": ["K", "K", "Tc", "Tc", "P", "P", "P", "P"],
  "frac_coords": [[0.000, 0.000, 0.000], [0.000, 0.500, 0.500], [0.500, 0.000, 0.766], [0.500, 0.500, 0.266], [0.000, 0.000, 0.691], [0.000, 0.500, 0.191], [0.500, 0.000, 0.367], [0.500, 0.500, 0.867]]
}

=====

Short version: B is the most stable of them.

=====

A.
{
  "formula": "KTc3P",
  "functional": "PBE-GGA",
  "state": "relaxed",
  "spacegroup": "No. 221",
  "cell": [[4.572, 0.000, 0.000], [0.000, 4.572, 0.000], [0.000, 0.000, 4.572]],
  "species": ["K", "Tc", "Tc", "Tc", "P"],
  "frac_coords": [[0.000, 0.000, 0.000], [0.000, 0.500, 0.500], [0.500, 0.000, 0.500], [0.500, 0.500, 0.000], [0.500, 0.500, 0.500]]
}

=====

B.
{
  "formula": "KTc3P",
  "functional": "PBE-GGA",
  "state": "relaxed",
  "spacegroup": "No. 221",
  "cell": [[4.541, 0.000, 0.000], [0.000, 4.541, 0.000], [0.000, 0.000, 4.541]],
  "species": ["K", "Tc", "Tc", "Tc", "P"],
  "frac_coords": [[0.000, 0.000, 0.000], [0.000, 0.000, 0.500], [0.000, 0.500, 0.000], [0.500, 0.000, 0.000], [0.500, 0.500, 0.500]]
}

=====

Short version: A is the most stable of them.

=====

A.
{
  "formula": "KTc2P2",
  "functional": "PBE-GGA",
  "state": "relaxed",
  "spacegroup": "No. 139",
  "cell": [[4.541, 0.000, 0.000], [0.000, 4.541, 0.000], [0.000, 0.000, 8.856]],
  "species": ["K", "K", "Tc", "Tc", "Tc", "Tc", "P", "P", "P", "P"],
  "frac_coords": [[0.000, 0.000, 0.000], [0.500, 0.500, 0.500], [0.000, 0.000, 0.372], [0.000, 0.000, 0.628], [0.500, 0.500, 0.128], [0.500, 0.500, 0.872], [0.000, 0.500, 0.250], [0.000, 0.500, 0.750], [0.500, 0.000, 0.250], [0.500, 0.000, 0.750]]
}

=====

B.
{
  "formula": "KTc2P2",
  "functional": "PBE-GGA",
  "state": "relaxed",
  "spacegroup": "No. 123",
  "cell": [[3.849, 0.000, 0.000], [0.000, 3.849, 0.000], [0.000, 0.000, 6.850]],
  "species": ["K", "Tc", "Tc", "P", "P"],
  "frac_coords": [[0.000, 0.000, 0.000], [0.000, 0.500, 0.500], [0.500, 0.000, 0.500], [0.500, 0.500, 0.279], [0.500, 0.500, 0.721]]
}

=====

Short version: B is the most stable of them.

=====

A.
{
  "formula": "K2TeP",
  "functional": "PBE-GGA",
  "state": "relaxed",
  "spacegroup": "No. 216",
  "cell": [[7.899, 0.000, 0.000], [0.000, 7.899, 0.000], [0.000, 0.000, 7.899]],
  "species": ["K", "K", "K", "K", "K", "K", "K", "K", "Te", "Te", "Te", "Te", "P", "P", "P", "P"],
  "frac_coords": [[0.000, 0.000, 0.000], [0.000, 0.500, 0.500], [0.250, 0.250, 0.250], [0.250, 0.750, 0.750], [0.500, 0.000, 0.500], [0.500, 0.500, 0.000], [0.750, 0.250, 0.750], [0.750, 0.750, 0.250], [0.250, 0.250, 0.750], [0.250, 0.750, 0.250], [0.750, 0.250, 0.250], [0.750, 0.750, 0.750], [0.000, 0.000, 0.500], [0.000, 0.500, 0.000], [0.500, 0.000, 0.000], [0.500, 0.500, 0.500]]
}

=====

B.
{
  "formula": "K2TeP",
  "functional": "PBE-GGA",
  "state": "relaxed",
  "spacegroup": "No. 10",
  "cell": [[3.373, 0.000, 0.000], [0.000, 5.047, 0.000], [-0.008, 0.000, 6.713]],
  "species": ["K", "K", "Te", "P"],
  "frac_coords": [[0.000, 0.000, 0.233], [0.000, 0.000, 0.767], [0.500, 0.500, 0.500], [0.500, 0.500, 0.000]]
}

=====

C.
{
  "formula": "K2TeP",
  "functional": "PBE-GGA",
  "state": "relaxed",
  "spacegroup": "No. 99",
  "cell": [[3.938, 0.000, 0.000], [0.000, 3.938, 0.000], [0.000, 0.000, 9.904]],
  "species": ["K", "K", "Te", "P"],
  "frac_coords": [[0.000, 0.000, 0.000], [0.500, 0.500, 0.420], [0.500, 0.500, 0.749], [0.000, 0.000, 0.680]]
}

=====

D.
{
  "formula": "K2TeP",
  "functional": "PBE-GGA",
  "state": "relaxed",
  "spacegroup": "No. 8",
  "cell": [[12.660, 0.000, 0.000], [0.000, 4.137, 0.000], [-1.549, 0.000, 5.357]],
  "species": ["K", "K", "K", "K", "Te", "Te", "P", "P"],
  "frac_coords": [[0.000, 0.000, 0.000], [0.236, 0.500, 0.554], [0.500, 0.500, 0.000], [0.736, 0.000, 0.554], [0.290, 0.000, 0.106], [0.790, 0.500, 0.106], [0.457, 0.000, 0.458], [0.957, 0.500, 0.458]]
}

=====

Short version: D is the most stable of them.

=====

A.
{
  "formula": "K6TeP2",
  "functional": "PBE-GGA",
  "state": "relaxed",
  "spacegroup": "No. 128",
  "cell": [[8.951, 0.000, 0.000], [0.000, 8.951, 0.000], [0.000, 0.000, 11.479]],
  "species": ["K", "K", "K", "K", "K", "K", "K", "K", "K", "K", "K", "K", "Te", "Te", "P", "P", "P", "P"],
  "frac_coords": [[0.000, 0.000, 0.224], [0.000, 0.000, 0.776], [0.123, 0.344, 0.500], [0.156, 0.377, 0.000], [0.344, 0.877, 0.500], [0.377, 0.844, 0.000], [0.500, 0.500, 0.276], [0.500, 0.500, 0.724], [0.623, 0.156, 0.000], [0.656, 0.123, 0.500], [0.844, 0.623, 0.000], [0.877, 0.656, 0.500], [0.000, 0.000, 0.500], [0.500, 0.500, 0.000], [0.000, 0.500, 0.250], [0.000, 0.500, 0.750], [0.500, 0.000, 0.250], [0.500, 0.000, 0.750]]
}

=====

B.
{
  "formula": "K6TeP2",
  "functional": "PBE-GGA",
  "state": "relaxed",
  "spacegroup": "No. 14",
  "cell": [[10.086, 0.000, 0.000], [0.000, 10.171, 0.000], [-2.679, 0.000, 7.639]],
  "species": ["K", "K", "K", "K", "K", "K", "K", "K", "K", "K", "K", "K", "Te", "Te", "P", "P", "P", "P"],
  "frac_coords": [[0.126, 0.213, 0.340], [0.126, 0.287, 0.840], [0.347, 0.040, 0.053], [0.347, 0.460, 0.553], [0.364, 0.643, 0.011], [0.364, 0.857, 0.511], [0.636, 0.143, 0.489], [0.636, 0.357, 0.989], [0.653, 0.540, 0.447], [0.653, 0.960, 0.947], [0.874, 0.713, 0.160], [0.874, 0.787, 0.660], [0.000, 0.000, 0.000], [0.000, 0.500, 0.500], [0.407, 0.154, 0.701], [0.407, 0.346, 0.201], [0.593, 0.654, 0.799], [0.593, 0.846, 0.299]]
}

=====

Short version: B is the most stable of them.